P) A geometry-optimized Ca2RhW structure. Source: Alexandria via LeMat-Bulk, functional PBE.

Cell and atoms, written as CIF:
```
data_Ca2RhW
_symmetry_space_group_name_H-M 'P 4/m m m'
_symmetry_Int_Tables_number 123
_symmetry_space_group_name_Hall '-P 4 2'
_cell_length_a 4.086
_cell_length_b 4.086
_cell_length_c 4.831
_cell_angle_alpha 90.00
_cell_angle_beta 90.00
_cell_angle_gamma 90.00
loop_
_atom_site_label
_atom_site_fract_x
_atom_site_fract_y
_atom_site_fract_z
Ca1 0.000 0.500 0.000
Rh1 0.000 0.000 0.500
W1 0.500 0.500 0.500
```

Q) A geometry-optimized Ca2RhW structure. Source: Alexandria via LeMat-Bulk, functional PBE.

Cell and atoms, written as CIF:
```
data_Ca2RhW
_symmetry_space_group_name_H-M 'P 1 m 1'
_symmetry_Int_Tables_number 6
_symmetry_space_group_name_Hall 'P -2y'
_cell_length_a 3.110
_cell_length_b 4.335
_cell_length_c 7.343
_cell_angle_alpha 90.00
_cell_angle_beta 101.71
_cell_angle_gamma 90.00
loop_
_atom_site_label
_atom_site_fract_x
_atom_site_fract_y
_atom_site_fract_z
Ca1 0.000 0.000 0.000
Ca2 0.270 0.500 0.621
Rh1 0.700 0.500 0.239
W1 0.598 0.000 0.379
```

Most stable structure: Q)

P) A geometry-optimized Ca2RhW structure. Source: Alexandria via LeMat-Bulk, functional PBE.

Cell and atoms, written as CIF:
```
data_Ca2RhW
_symmetry_space_group_name_H-M 'I 4/m m m'
_symmetry_Int_Tables_number 139
_symmetry_space_group_name_Hall '-I 4 2'
_cell_length_a 4.082
_cell_length_b 4.082
_cell_length_c 9.703
_cell_angle_alpha 90.00
_cell_angle_beta 90.00
_cell_angle_gamma 90.00
loop_
_atom_site_label
_atom_site_fract_x
_atom_site_fract_y
_atom_site_fract_z
Ca1 0.000 0.500 0.250
Rh1 0.000 0.000 0.000
W1 0.000 0.000 0.500
```

Q) A geometry-optimized Ca2RhW structure. Source: Alexandria via LeMat-Bulk, functional PBE.

Cell and atoms, written as CIF:
```
data_Ca2RhW
_symmetry_space_group_name_H-M 'R -3 m'
_symmetry_Int_Tables_number 166
_symmetry_space_group_name_Hall '-R 3 2"'
_cell_length_a 3.1229
_cell_length_b 3.1229
_cell_length_c 28.8995
_cell_angle_alpha 90.00
_cell_angle_beta 90.00
_cell_angle_gamma 120.00
loop_
_atom_site_label
_atom_site_fract_x
_atom_site_fract_y
_atom_site_fract_z
Ca1 0.0000 0.0000 0.2425
Rh1 0.0000 0.0000 0.5000
W1 0.0000 0.0000 0.0000
```

R) A geometry-optimized Ca2RhW structure. Source: Alexandria via LeMat-Bulk, functional PBE.

Cell and atoms, written as CIF:
```
data_Ca2RhW
_symmetry_space_group_name_H-M 'P 4 m m'
_symmetry_Int_Tables_number 99
_symmetry_space_group_name_Hall 'P 4 -2'
_cell_length_a 3.251
_cell_length_b 3.251
_cell_length_c 9.137
_cell_angle_alpha 90.00
_cell_angle_beta 90.00
_cell_angle_gamma 90.00
loop_
_atom_site_label
_atom_site_fract_x
_atom_site_fract_y
_atom_site_fract_z
Ca1 0.000 0.000 0.000
Ca2 0.500 0.500 0.380
Rh1 0.000 0.000 0.617
W1 0.500 0.500 0.750
```

Most stable structure: R)

P) A geometry-optimized Ca2RhW structure. Source: Alexandria via LeMat-Bulk, functional PBE.

Cell and atoms, written as CIF:
```
data_Ca2RhW
_symmetry_space_group_name_H-M 'F m -3 m'
_symmetry_Int_Tables_number 225
_symmetry_space_group_name_Hall '-F 4 2 3'
_cell_length_a 7.061
_cell_length_b 7.061
_cell_length_c 7.061
_cell_angle_alpha 90.00
_cell_angle_beta 90.00
_cell_angle_gamma 90.00
loop_
_atom_site_label
_atom_site_fract_x
_atom_site_fract_y
_atom_site_fract_z
Ca1 0.250 0.250 0.250
Rh1 0.000 0.000 0.000
W1 0.000 0.000 0.500
```

Q) A geometry-optimized Ca2RhW structure. Source: Alexandria via LeMat-Bulk, functional PBE.

Cell and atoms, written as CIF:
```
data_Ca2RhW
_symmetry_space_group_name_H-M 'I m m 2'
_symmetry_Int_Tables_number 44
_symmetry_space_group_name_Hall 'I 2 -2'
_cell_length_a 3.517
_cell_length_b 5.170
_cell_length_c 10.200
_cell_angle_alpha 90.00
_cell_angle_beta 90.00
_cell_angle_gamma 90.00
loop_
_atom_site_label
_atom_site_fract_x
_atom_site_fract_y
_atom_site_fract_z
Ca1 0.000 0.000 0.000
Ca2 0.000 0.500 0.214
Rh1 0.000 0.500 0.756
W1 0.000 0.000 0.421
```

R) A geometry-optimized Ca2RhW structure. Source: Alexandria via LeMat-Bulk, functional PBE.

Cell and atoms, written as CIF:
```
data_Ca2RhW
_symmetry_space_group_name_H-M 'P 1 2/m 1'
_symmetry_Int_Tables_number 10
_symmetry_space_group_name_Hall '-P 2y'
_cell_length_a 3.005
_cell_length_b 4.813
_cell_length_c 5.648
_cell_angle_alpha 90.00
_cell_angle_beta 99.17
_cell_angle_gamma 90.00
loop_
_atom_site_label
_atom_site_fract_x
_atom_site_fract_y
_atom_site_fract_z
Ca1 0.058 0.000 0.256
Rh1 0.500 0.500 0.500
W1 0.500 0.500 0.000
```

Most stable structure: Q)